Entry from the Alexandria database: a geometry-optimized La2MgTi structure (PBE).

Total DFT energy (no corrections) in eV per cell: -70.08
Total magnetic moment in μB per formula unit: 2.36
Volume in Å³/atom: 29.4
DFT formation energy in meV per atom: 456
Density in g cm⁻³: 4.94
DOS at the Fermi energy in states/eV/f.u.: 5.8

```
data_La2MgTi
_symmetry_space_group_name_H-M 'I -4 2 d'
_symmetry_Int_Tables_number 122
_symmetry_space_group_name_Hall 'I -4 2bw'
_cell_length_a 8.602
_cell_length_b 8.602
_cell_length_c 6.357
_cell_angle_alpha 90.00
_cell_angle_beta 90.00
_cell_angle_gamma 90.00
loop_
_atom_site_label
_atom_site_fract_x
_atom_site_fract_y
_atom_site_fract_z
La1 0.229 0.250 0.125
Mg1 0.000 0.000 0.500
Ti1 0.000 0.000 0.000
```

Entry from the Alexandria database: a geometry-optimized Tb3Ge2S structure (PBE).

Total DFT energy (no corrections) in eV per cell: -69.27
Total magnetic moment in μB per formula unit: 0.00
Volume in Å³/atom: 24.2
Density in g cm⁻³: 7.47
DOS at the Fermi energy in states/eV/f.u.: 2.8

```
data_Tb3Ge2S
_symmetry_space_group_name_H-M 'I m m m'
_symmetry_Int_Tables_number 71
_symmetry_space_group_name_Hall '-I 2 2'
_cell_length_a 4.034
_cell_length_b 5.799
_cell_length_c 12.430
_cell_angle_alpha 90.00
_cell_angle_beta 90.00
_cell_angle_gamma 90.00
loop_
_atom_site_label
_atom_site_fract_x
_atom_site_fract_y
_atom_site_fract_z
Tb1 0.000 0.000 0.000
Tb2 0.000 0.000 0.339
Ge1 0.000 0.500 0.334
S1 0.000 0.500 0.000
```

Entry from the Alexandria database: a geometry-optimized RuClF3 structure (PBE).

Total DFT energy (no corrections) in eV per cell: -20.68
Total magnetic moment in μB per formula unit: 1.83
Volume in Å³/atom: 14.0
Density in g cm⁻³: 4.59
DOS at the Fermi energy in states/eV/f.u.: 9.0
Energy above the lowest structure with this stoichiometry in eV per atom: 0.517

```
data_RuClF3
_symmetry_space_group_name_H-M 'P m -3 m'
_symmetry_Int_Tables_number 221
_symmetry_space_group_name_Hall '-P 4 2 3'
_cell_length_a 4.122
_cell_length_b 4.122
_cell_length_c 4.122
_cell_angle_alpha 90.00
_cell_angle_beta 90.00
_cell_angle_gamma 90.00
loop_
_atom_site_label
_atom_site_fract_x
_atom_site_fract_y
_atom_site_fract_z
Ru1 0.000 0.000 0.000
Cl1 0.500 0.500 0.500
F1 0.000 0.000 0.500
```

Entry from the Alexandria database: a geometry-optimized ScPdSe2 structure (PBE).

Total DFT energy (no corrections) in eV per cell: -87.40
Total magnetic moment in μB per formula unit: 0.00
Volume in Å³/atom: 24.9
Density in g cm⁻³: 5.15
DOS at the Fermi energy in states/eV/f.u.: 6.1
Energy above the lowest structure with this stoichiometry in eV per atom: 0.048

```
data_ScPdSe2
_symmetry_space_group_name_H-M 'I -4 2 d'
_symmetry_Int_Tables_number 122
_symmetry_space_group_name_Hall 'I -4 2bw'
_cell_length_a 5.396
_cell_length_b 5.396
_cell_length_c 13.711
_cell_angle_alpha 90.00
_cell_angle_beta 90.00
_cell_angle_gamma 90.00
loop_
_atom_site_label
_atom_site_fract_x
_atom_site_fract_y
_atom_site_fract_z
Sc1 0.000 0.000 0.000
Pd1 0.000 0.000 0.500
Se1 0.237 0.250 0.625
```

Entry from the Alexandria database: a geometry-optimized HfAsWBr2 structure (PBE).

Total DFT energy (no corrections) in eV per cell: -26.69
Total magnetic moment in μB per formula unit: 4.66
Volume in Å³/atom: 28.2
Density in g cm⁻³: 7.02
DOS at the Fermi energy in states/eV/f.u.: 2.4
Energy above the lowest structure with this stoichiometry in eV per atom: 0.000

```
data_HfAsWBr2
_symmetry_space_group_name_H-M 'P 4/m m m'
_symmetry_Int_Tables_number 123
_symmetry_space_group_name_Hall '-P 4 2'
_cell_length_a 5.105
_cell_length_b 5.105
_cell_length_c 5.421
_cell_angle_alpha 90.00
_cell_angle_beta 90.00
_cell_angle_gamma 90.00
loop_
_atom_site_label
_atom_site_fract_x
_atom_site_fract_y
_atom_site_fract_z
Hf1 0.000 0.000 0.000
As1 0.000 0.000 0.500
W1 0.500 0.500 0.500
Br1 0.000 0.500 0.000
```

Entry from the Alexandria database: a geometry-optimized Np2ZnPt3 structure (PBE).

Total DFT energy (no corrections) in eV per cell: -97.68
Total magnetic moment in μB per formula unit: 8.21
Volume in Å³/atom: 18.5
DFT formation energy in meV per atom: -594
Density in g cm⁻³: 16.82
DOS at the Fermi energy in states/eV/f.u.: 12.4

```
data_Np2ZnPt3
_symmetry_space_group_name_H-M 'P 63/m m c'
_symmetry_Int_Tables_number 194
_symmetry_space_group_name_Hall '-P 6c 2c'
_cell_length_a 5.5854
_cell_length_b 5.5854
_cell_length_c 8.2185
_cell_angle_alpha 90.00
_cell_angle_beta 90.00
_cell_angle_gamma 120.00
loop_
_atom_site_label
_atom_site_fract_x
_atom_site_fract_y
_atom_site_fract_z
Np1 0.3333 0.6667 0.0762
Zn1 0.0000 0.0000 0.0000
Pt1 0.1700 0.3400 0.7500
```

Entry from the Alexandria database: a geometry-optimized LiBSbTe2 structure (PBE).

Total DFT energy (no corrections) in eV per cell: -13.46
Total magnetic moment in μB per formula unit: 0.00
Volume in Å³/atom: 25.6
Density in g cm⁻³: 5.11
DOS at the Fermi energy in states/eV/f.u.: 4.4
Energy above the lowest structure with this stoichiometry in eV per atom: 0.658

```
data_LiBSbTe2
_symmetry_space_group_name_H-M 'P 4/m m m'
_symmetry_Int_Tables_number 123
_symmetry_space_group_name_Hall '-P 4 2'
_cell_length_a 5.169
_cell_length_b 5.169
_cell_length_c 4.796
_cell_angle_alpha 90.00
_cell_angle_beta 90.00
_cell_angle_gamma 90.00
loop_
_atom_site_label
_atom_site_fract_x
_atom_site_fract_y
_atom_site_fract_z
Li1 0.000 0.000 0.000
B1 0.500 0.500 0.500
Sb1 0.000 0.000 0.500
Te1 0.000 0.500 0.000
```

Entry from the Alexandria database: a geometry-optimized TaCrSb2Te structure (PBE).

Total DFT energy (no corrections) in eV per cell: -29.13
Total magnetic moment in μB per formula unit: 4.77
Volume in Å³/atom: 31.1
Density in g cm⁻³: 6.44
DOS at the Fermi energy in states/eV/f.u.: 3.4
Energy above the lowest structure with this stoichiometry in eV per atom: 0.000

```
data_TaCrSb2Te
_symmetry_space_group_name_H-M 'P 4/m m m'
_symmetry_Int_Tables_number 123
_symmetry_space_group_name_Hall '-P 4 2'
_cell_length_a 5.392
_cell_length_b 5.392
_cell_length_c 5.354
_cell_angle_alpha 90.00
_cell_angle_beta 90.00
_cell_angle_gamma 90.00
loop_
_atom_site_label
_atom_site_fract_x
_atom_site_fract_y
_atom_site_fract_z
Ta1 0.000 0.000 0.000
Cr1 0.500 0.500 0.500
Sb1 0.000 0.500 0.000
Te1 0.000 0.000 0.500
```

Entry from the Alexandria database: a geometry-optimized ZrHgAs2 structure (PBE).

Total DFT energy (no corrections) in eV per cell: -71.17
Total magnetic moment in μB per formula unit: 0.00
Volume in Å³/atom: 20.8
DFT formation energy in meV per atom: 89
Density in g cm⁻³: 8.80
DOS at the Fermi energy in states/eV/f.u.: 4.2

```
data_ZrHgAs2
_symmetry_space_group_name_H-M 'F -4 3 m'
_symmetry_Int_Tables_number 216
_symmetry_space_group_name_Hall 'F -4 2 3'
_cell_length_a 6.934
_cell_length_b 6.934
_cell_length_c 6.934
_cell_angle_alpha 90.00
_cell_angle_beta 90.00
_cell_angle_gamma 90.00
loop_
_atom_site_label
_atom_site_fract_x
_atom_site_fract_y
_atom_site_fract_z
Zr1 0.000 0.000 0.000
Hg1 0.250 0.250 0.250
As1 0.000 0.000 0.500
As2 0.250 0.250 0.750
```

Entry from the Alexandria database: a geometry-optimized Ba3FeAu structure (PBE).

Total DFT energy (no corrections) in eV per cell: -16.08
Total magnetic moment in μB per formula unit: 0.00
Volume in Å³/atom: 36.7
DFT formation energy in meV per atom: 286
Density in g cm⁻³: 6.02
DOS at the Fermi energy in states/eV/f.u.: 6.5
Energy above the lowest structure with this stoichiometry in eV per atom: 0.000

```
data_Ba3FeAu
_symmetry_space_group_name_H-M 'P m -3 m'
_symmetry_Int_Tables_number 221
_symmetry_space_group_name_Hall '-P 4 2 3'
_cell_length_a 5.683
_cell_length_b 5.683
_cell_length_c 5.683
_cell_angle_alpha 90.00
_cell_angle_beta 90.00
_cell_angle_gamma 90.00
loop_
_atom_site_label
_atom_site_fract_x
_atom_site_fract_y
_atom_site_fract_z
Ba1 0.000 0.000 0.500
Fe1 0.000 0.000 0.000
Au1 0.500 0.500 0.500
```

Entry from the Alexandria database: a geometry-optimized Tb3Al3Si2 structure (PBE).

Total DFT energy (no corrections) in eV per cell: -162.15
Total magnetic moment in μB per formula unit: 0.00
Volume in Å³/atom: 21.7
Density in g cm⁻³: 5.86
DOS at the Fermi energy in states/eV/f.u.: 2.9

```
data_Tb3Al3Si2
_symmetry_space_group_name_H-M 'C m c m'
_symmetry_Int_Tables_number 63
_symmetry_space_group_name_Hall '-C 2c 2'
_cell_length_a 4.072
_cell_length_b 11.013
_cell_length_c 15.509
_cell_angle_alpha 90.00
_cell_angle_beta 90.00
_cell_angle_gamma 90.00
loop_
_atom_site_label
_atom_site_fract_x
_atom_site_fract_y
_atom_site_fract_z
Tb1 0.000 0.080 0.250
Tb2 0.000 0.362 0.094
Al1 0.000 0.077 0.057
Al2 0.000 0.192 0.750
Si1 0.000 0.341 0.621
```

Entry from the Alexandria database: a geometry-optimized Pm2Y2Se5 structure (PBE).

Total DFT energy (no corrections) in eV per cell: -218.32
Total magnetic moment in μB per formula unit: 0.00
Volume in Å³/atom: 28.6
Density in g cm⁻³: 5.57
DOS at the Fermi energy in states/eV/f.u.: 4.0
Energy above the lowest structure with this stoichiometry in eV per atom: 0.128

```
data_Pm2Y2Se5
_symmetry_space_group_name_H-M 'I m a 2'
_symmetry_Int_Tables_number 46
_symmetry_space_group_name_Hall 'I 2 -2a'
_cell_length_a 17.611
_cell_length_b 7.598
_cell_length_c 7.692
_cell_angle_alpha 90.00
_cell_angle_beta 90.00
_cell_angle_gamma 90.00
loop_
_atom_site_label
_atom_site_fract_x
_atom_site_fract_y
_atom_site_fract_z
Pm1 0.102 0.016 0.000
Y1 0.000 0.000 0.427
Y2 0.250 0.535 0.074
Se1 0.060 0.705 0.202
Se2 0.147 0.146 0.352
Se3 0.250 0.634 0.429
```